1.
# Cs2Zn2Ag

A relaxed Cs2Zn2Ag crystal (PBE, the Alexandria database).

abc: 7.8413 7.8413 5.8356
angles: 90.00 90.00 90.00
Space group P4/mbm (No. 127)
Unique sites:
Cs (0.1833, 0.3167, 0.0000) x4
Zn (0.1263, 0.6263, 0.5000) x4
Ag (0.0000, 0.0000, 0.5000) x2

Results
energy of formation from the pure elements = 0.986 eV/f.u.
V = 179 Å³/f.u.
ΔE to the lowest computed polymorph = 191 meV per atom

=====

2.
# CsZn3Ag

A relaxed CsZn3Ag crystal (PBE, the Alexandria database).

abc: 6.8537 6.8537 6.8537
angles: 90.00 90.00 90.00
Space group Pm-3m (No. 221)
Unique sites:
Cs (0.0000, 0.0000, 0.0000) x1
Zn (0.0000, 0.0000, 0.5000) x3
Ag (0.5000, 0.5000, 0.5000) x1

Results
energy of formation from the pure elements = 4.681 eV/f.u.
V = 322 Å³/f.u.
ΔE to the lowest computed polymorph = 924 meV per atom